Entry 1:
KSr4Y | PBE | optimized geometry

a = 7.7093 Å, b = 7.7093 Å, c = 7.7093 Å
α = 60.00°, β = 60.00°, γ = 60.00°
Last column: nearest neighbours and their distance in Å.
Element x y z (fractional)
K  0.0000  0.0000  0.0000  12 Sr 4.52, 4 Y 4.72
Sr  0.1288  0.6237  0.6237  6 Sr 3.82-3.89
Sr  0.6237  0.1288  0.6237  6 Sr 3.82-3.89
Sr  0.6237  0.6237  0.1288  6 Sr 3.82-3.89
Sr  0.6237  0.6237  0.6237  6 Sr 3.82-3.89
Y  0.2500  0.2500  0.2500  12 Sr 4.52, 4 K 4.72

Computed properties:
Its symmetry is F-43m. For the density of states at the Fermi level, the calculation gives 1.378 states/eV per atom. The formation energy is 2.26 eV/f.u. Its total magnetic moment is 0.943 Bohr magnetons per cell. The value obtained for the total energy is -12.0 eV per cell.

---

Entry 2:
KSr2Y | PBE | optimized geometry

a = 4.3106 Å, b = 6.5613 Å, c = 6.7978 Å
α = 90.00°, β = 90.00°, γ = 90.00°
Last column: nearest neighbours and their distance in Å.
Element x y z (fractional)
K  0.0000  0.0000  0.0000  4 Sr 3.93, 4 Y 4.02, 2 K 4.31
Sr  0.0000  0.5000  0.5000  4 Y 3.93, 6 Sr 4.02-4.31
Sr  0.5000  0.5000  0.0000  4 K 3.93, 6 Sr 4.02-4.31
Y  0.5000  0.0000  0.5000  4 Sr 3.93, 4 K 4.02, 2 Y 4.31

Computed properties:
Its symmetry is Pmmm. For the density of states at the Fermi level, the calculation gives 1.352 states/eV per atom. The formation energy is 1.46 eV/f.u. The value obtained for the offset from the most stable computed form is 0.1839 eV/atom. Its total magnetic moment is 0.004 Bohr magnetons per cell. The value obtained for the total energy is -9.5 eV per cell.

---

Entry 3:
KSr2Y2 | PBE | optimized geometry

a = 11.1282 Å, b = 11.1282 Å, c = 3.8617 Å
α = 90.00°, β = 90.00°, γ = 90.00°
Last column: nearest neighbours and their distance in Å.
Element x y z (fractional)
K  0.0000  0.0000  0.0000  2 K 3.86, 4 Sr 4.09
K  0.5000  0.5000  0.0000  2 K 3.86, 4 Sr 4.09
Sr  0.1782  0.3218  0.0000  6 Y 3.80-3.88, 2 Sr 3.86, 2 K 4.09
Sr  0.3218  0.8218  0.0000  6 Y 3.80-3.88, 2 Sr 3.86, 2 K 4.09
Sr  0.6782  0.1782  0.0000  6 Y 3.80-3.88, 2 Sr 3.86, 2 K 4.09
Sr  0.8218  0.6782  0.0000  6 Y 3.80-3.88, 2 Sr 3.86, 2 K 4.09
Y  0.1077  0.6077  0.5000  1 Y 3.39
Y  0.3923  0.1077  0.5000  1 Y 3.39
Y  0.6077  0.8923  0.5000  1 Y 3.39
Y  0.8923  0.3923  0.5000  1 Y 3.39

Computed properties:
Its symmetry is P4/mbm. For the density of states at the Fermi level, the calculation gives 1.316 states/eV per atom. The formation energy is 1.91 eV/f.u. The value obtained for the offset from the most stable computed form is 0.0216 eV/atom. Its total magnetic moment is 4.353 Bohr magnetons per cell. The value obtained for the total energy is -31.0 eV per cell.